P) Entry from the Alexandria database: a relaxed NdDy2Er4 crystal (PBE).

Unit cell a=6.041 b=6.554 c=11.489 alpha=90.00 beta=103.97 gamma=90.00
Element x y z (fractional)
Nd1 0.043 0.250 0.365
Nd2 0.957 0.750 0.635
Dy1 0.159 0.250 0.950
Dy2 0.397 0.750 0.510
Dy3 0.603 0.250 0.490
Dy4 0.841 0.750 0.050
Er1 0.145 0.250 0.666
Er2 0.280 0.750 0.921
Er3 0.345 0.508 0.210
Er4 0.345 0.992 0.210
Er5 0.655 0.008 0.790
Er6 0.655 0.492 0.790
Er7 0.720 0.250 0.079
Er8 0.855 0.750 0.334

Q) Entry from the Alexandria database: a relaxed NdDy2Er4 crystal (PBE).

Unit cell a=3.510 b=8.470 c=8.700 alpha=118.67 beta=90.35 gamma=101.84
Element x y z (fractional)
Nd1 0.000 0.000 0.000
Dy1 0.070 0.140 0.430
Dy2 0.930 0.860 0.570
Er1 0.295 0.588 0.706
Er2 0.355 0.714 0.165
Er3 0.645 0.286 0.835
Er4 0.705 0.412 0.294

Energies relative to the most stable structure, in eV/atom: P) 0.092; Q) 0.000.

P) Entry from the Alexandria database: a relaxed Nd2Dy8Er crystal (PBE).

Unit cell a=9.429 b=9.429 c=7.972 alpha=104.71 beta=104.71 gamma=30.98
Element x y z (fractional)
Nd1 0.227 0.227 0.137
Nd2 0.773 0.773 0.863
Dy1 0.045 0.045 0.228
Dy2 0.135 0.135 0.678
Dy3 0.319 0.319 0.592
Dy4 0.410 0.410 0.047
Dy5 0.590 0.590 0.953
Dy6 0.681 0.681 0.408
Dy7 0.865 0.865 0.322
Dy8 0.955 0.955 0.772
Er1 0.500 0.500 0.500

Q) Entry from the Alexandria database: a relaxed Nd2Dy8Er crystal (PBE).

Unit cell a=9.218 b=9.218 c=5.893 alpha=105.39 beta=105.39 gamma=121.38
Element x y z (fractional)
Nd1 0.193 0.807 0.000
Nd2 0.807 0.193 0.000
Dy1 0.074 0.074 0.297
Dy2 0.171 0.402 0.827
Dy3 0.293 0.707 0.500
Dy4 0.402 0.171 0.827
Dy5 0.598 0.829 0.173
Dy6 0.707 0.293 0.500
Dy7 0.829 0.598 0.173
Dy8 0.926 0.926 0.703
Er1 0.500 0.500 0.500

Energies relative to the most stable structure, in eV/atom: P) 0.000; Q) 0.137.

P) Entry from the Alexandria database: a relaxed Nd7Dy3Er2 crystal (PBE).

Unit cell a=6.468 b=3.567 c=17.613 alpha=90.00 beta=95.90 gamma=90.00
Element x y z (fractional)
Nd1 0.000 0.000 0.000
Nd2 0.224 0.500 0.172
Nd3 0.257 0.500 0.494
Nd4 0.276 0.000 0.832
Nd5 0.724 0.000 0.168
Nd6 0.743 0.500 0.506
Nd7 0.776 0.500 0.828
Dy1 0.455 0.000 0.340
Dy2 0.500 0.500 0.000
Dy3 0.545 0.000 0.660
Er1 0.060 0.500 0.670
Er2 0.940 0.500 0.330

Q) Entry from the Alexandria database: a relaxed Nd7Dy3Er2 crystal (PBE).

Unit cell a=16.411 b=16.411 c=4.706 alpha=90.00 beta=90.00 gamma=160.66
Element x y z (fractional)
Nd1 0.000 0.000 0.000
Nd2 0.080 0.920 0.500
Nd3 0.264 0.736 0.000
Nd4 0.417 0.583 0.000
Nd5 0.583 0.417 0.000
Nd6 0.736 0.264 0.000
Nd7 0.920 0.080 0.500
Dy1 0.342 0.658 0.500
Dy2 0.500 0.500 0.500
Dy3 0.658 0.342 0.500
Er1 0.159 0.841 0.000
Er2 0.841 0.159 0.000

Energies relative to the most stable structure, in eV/atom: P) 0.000; Q) 0.188.